Tb7Tm2Sc: relaxed, PBE.

Structure (POSCAR):
```
Tb7Tm2Sc
1.0
4.3602 -8.4835 0.0000
4.3602 8.4835 0.0000
0.0000 0.0000 5.1267
Tb Tm Sc
7 2 1
direct
0.0000 0.0000 0.0000
0.2153 0.4274 0.0000
0.3058 0.6942 0.5000
0.4274 0.2153 0.0000
0.5726 0.7847 0.0000
0.6942 0.3058 0.5000
0.7847 0.5726 0.0000
0.2024 0.7976 0.0000
0.7976 0.2024 0.0000
0.5000 0.5000 0.5000
```

Computed properties:
The total moment is 0.00 μB/f.u. The calculation puts the total energy at -0.2993 Ry/atom. Its formation energy from the elements is 7.0 eV/f.u.